Material: InHg5Bi2
Method: DFT, PBE-GGA
State: relaxed

Summary:
Formation enthalpy at 0 K, kJ/mol of formula units: 30.6
Electronic total energy, eV per formula unit: -11.69

Unit cell a=12.618 b=12.618 c=4.399 alpha=99.76 beta=99.76 gamma=19.75
Positions (direct):
In1 0.000 0.000 0.000
Hg1 0.132 0.132 0.645
Hg2 0.399 0.399 0.883
Hg3 0.500 0.500 0.500
Hg4 0.601 0.601 0.117
Hg5 0.868 0.868 0.355
Bi1 0.270 0.270 0.769
Bi2 0.730 0.730 0.231